one) This record from Alexandria via LeMat-Bulk describes crystalline SrYTe2I at its relaxed geometry. The functional is PBE.

Results
- SG = No. 123
- magnetization (μB per atom) = 0.000

Lattice parameters (Å, degrees): 6.1134 6.1134 5.8497 90.00 90.00 90.00
Element x y z (fractional)
I 0.0000 0.0000 0.5000
Y 0.5000 0.5000 0.5000
Te 0.0000 0.5000 0.0000
Te 0.5000 0.0000 0.0000
Sr 0.0000 0.0000 0.0000


two) This record from Alexandria via LeMat-Bulk describes crystalline SrYTe2I at its relaxed geometry. The functional is PBE.

Results
- SG = No. 123
- magnetization (μB per atom) = 0.000

Lattice parameters (Å, degrees): 5.9410 5.9410 5.8352 90.00 90.00 90.00
Element x y z (fractional)
I 0.0000 0.0000 0.5000
Y 0.0000 0.0000 0.0000
Te 0.0000 0.5000 0.0000
Te 0.5000 0.0000 0.0000
Sr 0.5000 0.5000 0.5000


Verdict on stability: two) comes out on top.


one) This record from Alexandria via LeMat-Bulk describes crystalline SrZrTe2I at its relaxed geometry. The functional is PBE.

Results
- SG = No. 123
- magnetization (μB per atom) = 0.262

Lattice parameters (Å, degrees): 6.0901 6.0901 5.9573 90.00 90.00 90.00
Each line ends with the local moment (μB).
Element x y z (fractional)
I 0.0000 0.0000 0.5000  -0.05
Sr 0.0000 0.0000 0.0000  0.00
Te 0.0000 0.5000 0.0000  -0.20
Te 0.5000 0.0000 0.0000  -0.20
Zr 0.5000 0.5000 0.5000  1.44


two) This record from Alexandria via LeMat-Bulk describes crystalline SrZrTe2I at its relaxed geometry. The functional is PBE.

Results
- SG = No. 123
- magnetization (μB per atom) = 0.000

Lattice parameters (Å, degrees): 5.7030 5.7030 5.6532 90.00 90.00 90.00
Element x y z (fractional)
I 0.0000 0.0000 0.5000
Sr 0.5000 0.5000 0.5000
Te 0.0000 0.5000 0.0000
Te 0.5000 0.0000 0.0000
Zr 0.0000 0.0000 0.0000


Verdict on stability: two) comes out on top.


one) This record from Alexandria via LeMat-Bulk describes crystalline SrThI6 at its relaxed geometry. The functional is PBE.

Results
- SG = No. 2
- magnetization (μB per atom) = 0.000

Lattice parameters (Å, degrees): 7.9552 7.9496 8.5863 62.32 62.32 59.93
Element x y z (fractional)
Sr 0.5000 0.5000 0.5000
Th 0.0000 0.0000 0.0000
I 0.0739 0.4027 0.7565
I 0.7659 0.0739 0.7580
I 0.5975 0.2338 0.2431
I 0.2341 0.9261 0.2420
I 0.9261 0.5973 0.2435
I 0.4025 0.7662 0.7569


two) This record from Alexandria via LeMat-Bulk describes crystalline SrThI6 at its relaxed geometry. The functional is PBE.

Results
- SG = No. 12
- magnetization (μB per atom) = 0.000

Lattice parameters (Å, degrees): 8.2648 8.2648 7.8924 98.26 98.26 122.67
Element x y z (fractional)
Sr 0.0000 0.0000 0.0000
Th 0.5000 0.5000 0.5000
I 0.2579 0.2579 0.7371
I 0.4175 0.1172 0.2630
I 0.7421 0.7421 0.2629
I 0.8828 0.5825 0.7370
I 0.5825 0.8828 0.7370
I 0.1172 0.4175 0.2630


Verdict on stability: two) comes out on top.


one) This record from Alexandria via LeMat-Bulk describes crystalline Sr2TiI at its relaxed geometry. The functional is PBE.

Results
- SG = No. 225
- magnetization (μB per atom) = 1.192

Lattice parameters (Å, degrees): 5.9406 5.9406 5.9406 60.00 60.00 60.00
Each line ends with the local moment (μB).
Element x y z (fractional)
I 0.5000 0.5000 0.5000  0.03
Sr 0.2500 0.2500 0.2500  0.18
Sr 0.7500 0.7500 0.7500  0.18
Ti 0.0000 0.0000 0.0000  2.13


two) This record from Alexandria via LeMat-Bulk describes crystalline Sr2TiI at its relaxed geometry. The functional is PBE.

Results
- SG = No. 122
- magnetization (μB per atom) = 0.902

Lattice parameters (Å, degrees): 9.2043 9.2043 7.6079 52.78 52.78 90.00
Each line ends with the local moment (μB).
Element x y z (fractional)
I 0.0000 0.0000 0.0000  0.02
I 0.7500 0.2500 0.5000  0.02
Sr 0.6395 0.1250 0.2500  0.08
Sr 0.1105 0.6250 0.2500  0.08
Sr 0.3750 0.3605 0.7500  0.08
Sr 0.8750 0.8895 0.7500  0.08
Ti 0.5000 0.5000 0.0000  2.04
Ti 0.2500 0.7500 0.5000  2.04


Verdict on stability: one) comes out on top.


one) This record from Alexandria via LeMat-Bulk describes crystalline SrTiI2 at its relaxed geometry. The functional is PBE.

Results
- SG = No. 225
- magnetization (μB per atom) = 0.000

Lattice parameters (Å, degrees): 5.3948 5.3948 5.3948 60.00 60.00 60.00
Element x y z (fractional)
I 0.2500 0.2500 0.2500
I 0.7500 0.7500 0.7500
Sr 0.5000 0.5000 0.5000
Ti 0.0000 0.0000 0.0000


two) This record from Alexandria via LeMat-Bulk describes crystalline SrTiI2 at its relaxed geometry. The functional is PBE.

Results
- SG = No. 122
- magnetization (μB per atom) = 0.965

Lattice parameters (Å, degrees): 5.8770 5.8770 9.9595 72.84 72.84 90.00
Each line ends with the local moment (μB).
Element x y z (fractional)
I 0.5770 0.1250 0.2500  0.01
I 0.1730 0.6250 0.2500  0.01
I 0.3750 0.4230 0.7500  0.00
I 0.8750 0.8270 0.7500  0.01
Sr 0.0000 0.0000 0.0000  0.12
Sr 0.7500 0.2500 0.5000  0.12
Ti 0.5000 0.5000 0.0000  2.11
Ti 0.2500 0.7500 0.5000  2.11


Verdict on stability: two) comes out on top.


one) This record from Alexandria via LeMat-Bulk describes crystalline SrTlI2 at its relaxed geometry. The functional is PBE.

Results
- SG = No. 166
- magnetization (μB per atom) = 0.000

Lattice parameters (Å, degrees): 4.8907 4.8907 10.8744 77.00 77.00 60.00
Element x y z (fractional)
I 0.1002 0.1002 0.6994
I 0.8998 0.8998 0.3006
Sr 0.0000 0.0000 0.0000
Tl 0.5000 0.5000 0.5000


two) This record from Alexandria via LeMat-Bulk describes crystalline SrTlI2 at its relaxed geometry. The functional is PBE.

Results
- SG = No. 225
- magnetization (μB per atom) = 0.000

Lattice parameters (Å, degrees): 5.9420 5.9420 5.9420 60.00 60.00 60.00
Element x y z (fractional)
I 0.2500 0.2500 0.2500
I 0.7500 0.7500 0.7500
Sr 0.0000 0.0000 0.0000
Tl 0.5000 0.5000 0.5000


Verdict on stability: two) comes out on top.


one) This record from Alexandria via LeMat-Bulk describes crystalline SrTlI3 at its relaxed geometry. The functional is PBE.

Results
- SG = No. 221
- magnetization (μB per atom) = 0.000

Lattice parameters (Å, degrees): 6.4038 6.4038 6.4038 90.00 90.00 90.00
Element x y z (fractional)
I 0.0000 0.5000 0.0000
I 0.0000 0.0000 0.5000
I 0.5000 0.0000 0.0000
Sr 0.0000 0.0000 0.0000
Tl 0.5000 0.5000 0.5000


two) This record from Alexandria via LeMat-Bulk describes crystalline SrTlI3 at its relaxed geometry. The functional is PBE.

Results
- SG = No. 11
- magnetization (μB per atom) = 0.000

Lattice parameters (Å, degrees): 4.8526 11.7649 9.0959 101.04 90.00 90.00
Element x y z (fractional)
Sr 0.2500 0.8382 0.3566
Sr 0.7500 0.1618 0.6434
Tl 0.2500 0.4541 0.2140
Tl 0.7500 0.5459 0.7860
I 0.7500 0.6653 0.4373
I 0.2500 0.3347 0.5627
I 0.7500 0.3186 0.9824
I 0.2500 0.9857 0.7073
I 0.2500 0.6814 0.0176
I 0.7500 0.0143 0.2927


Verdict on stability: two) comes out on top.


one) This record from Alexandria via LeMat-Bulk describes crystalline Sr2TlI at its relaxed geometry. The functional is PBE.

Results
- SG = No. 122
- magnetization (μB per atom) = 0.000

Lattice parameters (Å, degrees): 8.9059 8.9059 7.6528 54.42 54.42 90.00
Element x y z (fractional)
I 0.5000 0.5000 0.0000
I 0.2500 0.7500 0.5000
Sr 0.6265 0.1250 0.2500
Sr 0.1235 0.6250 0.2500
Sr 0.3750 0.3735 0.7500
Sr 0.8750 0.8765 0.7500
Tl 0.0000 0.0000 0.0000
Tl 0.7500 0.2500 0.5000


two) This record from Alexandria via LeMat-Bulk describes crystalline Sr2TlI at its relaxed geometry. The functional is PBE.

Results
- SG = No. 123
- magnetization (μB per atom) = 0.000

Lattice parameters (Å, degrees): 4.0367 4.0367 9.0872 90.00 90.00 90.00
Element x y z (fractional)
I 0.5000 0.5000 0.5000
Sr 0.0000 0.0000 0.7743
Sr 0.0000 0.0000 0.2257
Tl 0.5000 0.5000 0.0000


three) This record from Alexandria via LeMat-Bulk describes crystalline Sr2TlI at its relaxed geometry. The functional is PBE.

Results
- SG = No. 166
- magnetization (μB per atom) = 0.000

Lattice parameters (Å, degrees): 4.5092 4.5092 9.4677 76.22 76.22 60.00
Element x y z (fractional)
I 0.5000 0.5000 0.5000
Sr 0.7445 0.7445 0.7666
Sr 0.2555 0.2555 0.2334
Tl 0.0000 0.0000 0.0000


Verdict on stability: three) comes out on top.